The following is a PBE calculation of a relaxed structure of ZrCd2Pd, from Alexandria.

a b c (Å): 6.249 6.249 6.249
angles (deg): 101.14 101.14 127.86
Atoms (fractional coordinates):
Zr: 0.000 0.000 0.000
Zr: 0.750 0.250 0.500
Cd: 0.158 0.625 0.033
Cd: 0.375 0.408 0.533
Cd: 0.592 0.125 0.967
Cd: 0.875 0.842 0.467
Pd: 0.250 0.750 0.500
Pd: 0.500 0.500 0.000

* calculated volume: 87 Å³/f.u.
* final energy: -0.2821 Ry per atom
* space group: I-42d, No. 122
* formation energy: 0.055 eV per atom

***

The following is a PBE calculation of a relaxed structure of Al3CuOs, from Alexandria.

a b c (Å): 4.708 4.708 4.708
angles (deg): 90.00 90.00 90.00
Atoms (fractional coordinates):
Al: 0.000 0.000 0.500
Al: 0.000 0.500 0.000
Al: 0.500 0.000 0.000
Cu: 0.500 0.500 0.500
Os: 0.000 0.000 0.000

* calculated volume: 104 Å³/f.u.
* final energy: -0.3671 Ry per atom
* space group: Pm-3m, No. 221
* energy relative to the lowest polymorph listed for this composition: 0.000 eV per atom
* formation energy: 0.317 eV per atom

***

The following is a PBE calculation of a relaxed structure of NpUSb2, from Alexandria.

a b c (Å): 5.259 5.259 3.732
angles (deg): 90.00 90.00 90.00
Atoms (fractional coordinates):
Np: 0.000 0.000 0.000
U: 0.500 0.500 0.000
Sb: 0.000 0.500 0.500
Sb: 0.500 0.000 0.500

* calculated volume: 103 Å³/f.u.
* final energy: -0.6109 Ry per atom
* space group: P4/mmm, No. 123
* formation energy without anion corrections: -193 meV per atom
* energy relative to the lowest polymorph listed for this composition: 0.002 eV per atom

***

The following is a PBE calculation of a relaxed structure of Tb3Pm7Ho2, from Alexandria.

a b c (Å): 11.828 11.828 11.828
angles (deg): 32.35 32.35 32.35
Atoms (fractional coordinates):
Tb: 0.000 0.000 0.000
Tb: 0.152 0.152 0.152
Tb: 0.848 0.848 0.848
Pm: 0.078 0.588 0.588
Pm: 0.412 0.412 0.922
Pm: 0.412 0.922 0.412
Pm: 0.500 0.500 0.500
Pm: 0.588 0.078 0.588
Pm: 0.588 0.588 0.078
Pm: 0.922 0.412 0.412
Ho: 0.334 0.334 0.334
Ho: 0.666 0.666 0.666

* calculated volume: 421 Å³/f.u.
* final energy: -0.3232 Ry per atom
* space group: R-3m, No. 166
* energy relative to the lowest polymorph listed for this composition: 0.185 eV per atom
* formation energy: 0.295 eV per atom